Entry 1:
ZnPbCF2, relaxed, DFT PBE; symmetry = P4/mmm (123); E = -16.738 eV per cell; E_form (uncorrected) = 5.6 kcal/mol of atoms
1.0
-0.841 -2.793 2.874
3.731 -2.690 -1.523
2.474 1.949 2.618
F C Zn Pb
2 1 1 1
Cartesian
1.237 0.974 1.309
-0.420 -1.397 1.437
0.000 0.000 0.000
2.682 -1.767 1.984
1.865 -1.345 -0.761



Entry 2:
PdC2F, relaxed, DFT PBE; symmetry = Fm-3m (225); E = -17.374 eV per cell; E_form (uncorrected) = 46.9 kcal/mol of atoms; energy relative to the lowest polymorph listed for this composition = 0.363 eV per atom
1.0
-0.598 0.722 3.685
0.774 3.445 1.412
-2.836 2.305 1.050
F C Pd
1 2 1
Cartesian
0.000 0.000 0.000
-0.665 1.618 1.537
-1.995 4.854 4.610
-1.330 3.236 3.074



Entry 3:
PdCF2, relaxed, DFT PBE; symmetry = R-3m (166); E = -15.181 eV per cell; E_form (uncorrected) = 17.2 kcal/mol of atoms; energy relative to the lowest polymorph listed for this composition = 0.174 eV per atom
1.0
4.924 -2.994 4.486
5.006 -4.753 2.382
6.486 -2.444 2.298
C Pd F
1 1 2
Cartesian
8.208 -5.095 4.583
0.000 0.000 0.000
14.857 -9.223 8.295
1.559 -0.968 0.871



Entry 4:
PdCF2, relaxed, DFT PBE; symmetry = Fm-3m (225); E = -14.221 eV per cell; E_form (uncorrected) = 22.7 kcal/mol of atoms; energy relative to the lowest polymorph listed for this composition = 0.414 eV per atom
1.0
0.000 2.791 2.791
2.791 0.000 2.791
2.791 2.791 0.000
C F Pd
1 2 1
Cartesian
0.000 0.000 0.000
1.396 1.396 1.396
4.187 4.187 4.187
2.791 2.791 2.791



Entry 5:
PdC2F, relaxed, DFT PBE; symmetry = I-42d (122); E = -37.649 eV per cell; E_form (uncorrected) = 38.6 kcal/mol of atoms; energy relative to the lowest polymorph listed for this composition = 0.000 eV per atom
1.0
-3.757 2.559 0.579
-1.152 -0.700 -4.380
-5.177 -3.386 -0.494
Pd C F
2 4 2
Cartesian
0.000 0.000 0.000
-5.694 0.051 -0.908
-8.249 -0.956 -3.967
-2.251 -1.122 -2.824
-4.019 0.824 -0.273
-5.653 -1.799 -1.525
-4.392 -1.578 -3.387
-2.454 0.929 -1.900



Entry 6:
PdCF2, relaxed, DFT PBE; symmetry = I-42d (122); E = -31.754 eV per cell; E_form (uncorrected) = 13.2 kcal/mol of atoms; energy relative to the lowest polymorph listed for this composition = 0.000 eV per atom
1.0
-1.651 -2.852 -0.454
0.546 -0.822 3.176
-6.984 1.569 3.348
F C Pd
4 2 2
Cartesian
-1.620 -0.493 2.763
-2.700 -1.478 0.953
-6.207 -2.033 4.877
-5.649 -0.205 3.549
-0.552 -1.837 1.361
-3.495 -0.545 3.943
-4.593 -1.560 2.128
0.000 0.000 0.000



- Number 2 is which compound?
  PdC2F